1.
DFT (PBE) results for K2TeRh after structural relaxation.

abc: 4.374 4.374 22.723
angles: 90.00 90.00 90.00
Fractional coordinates of all 16 atoms:
1 K 0.237 0.250 0.125
2 K 0.250 0.737 0.375
3 K 0.250 0.763 0.875
4 K 0.263 0.250 0.625
5 K 0.737 0.750 0.625
6 K 0.750 0.237 0.875
7 K 0.750 0.263 0.375
8 K 0.763 0.750 0.125
9 Te 0.000 0.000 0.500
10 Te 0.000 0.500 0.750
11 Te 0.500 0.000 0.250
12 Te 0.500 0.500 0.000
13 Rh 0.000 0.000 0.000
14 Rh 0.000 0.500 0.250
15 Rh 0.500 0.000 0.750
16 Rh 0.500 0.500 0.500

Summary:
Energy relative to the elements, uncorrected   0.1940 eV/atom
Symmetry   I-42d, No. 122
Calculated total energy   -0.10944 hartree per atom


2.
DFT (PBE) results for VPdS2 after structural relaxation.

abc: 3.281 3.281 19.891
angles: 90.00 90.00 120.00
Fractional coordinates of all 12 atoms:
1 V 0.000 0.000 0.000
2 V 0.333 0.667 0.667
3 V 0.667 0.333 0.333
4 Pd 0.000 0.000 0.854
5 Pd 0.333 0.667 0.521
6 Pd 0.667 0.333 0.187
7 S 0.000 0.000 0.265
8 S 0.000 0.000 0.409
9 S 0.333 0.667 0.075
10 S 0.333 0.667 0.932
11 S 0.667 0.333 0.598
12 S 0.667 0.333 0.742

Summary:
Energy relative to the elements, uncorrected   -0.5593 eV/atom
Symmetry   R3m, No. 160
Calculated total energy   -0.22788 hartree per atom


3.
DFT (PBE) results for LiPb2Se2O6 after structural relaxation.

abc: 6.381 6.381 6.381
angles: 56.38 56.38 56.38
Fractional coordinates of all 11 atoms:
1 Li 0.000 0.000 0.000
2 Pb 0.201 0.201 0.201
3 Pb 0.799 0.799 0.799
4 Se 0.420 0.420 0.420
5 Se 0.580 0.580 0.580
6 O 0.223 0.753 0.753
7 O 0.247 0.247 0.777
8 O 0.247 0.777 0.247
9 O 0.753 0.223 0.753
10 O 0.753 0.753 0.223
11 O 0.777 0.247 0.247

Summary:
Energy relative to the elements, uncorrected   -0.8117 eV/atom
Symmetry   R-3m, No. 166
Calculated total energy   -0.18367 hartree per atom


4.
DFT (PBE) results for BeAl2Pt after structural relaxation.

abc: 5.997 5.997 5.997
angles: 90.00 90.00 90.00
Fractional coordinates of all 16 atoms:
1 Be 0.000 0.000 0.000
2 Be 0.000 0.500 0.500
3 Be 0.500 0.000 0.500
4 Be 0.500 0.500 0.000
5 Al 0.000 0.000 0.500
6 Al 0.000 0.500 0.000
7 Al 0.250 0.250 0.250
8 Al 0.250 0.750 0.750
9 Al 0.500 0.000 0.000
10 Al 0.500 0.500 0.500
11 Al 0.750 0.250 0.750
12 Al 0.750 0.750 0.250
13 Pt 0.250 0.250 0.750
14 Pt 0.250 0.750 0.250
15 Pt 0.750 0.250 0.250
16 Pt 0.750 0.750 0.750

Summary:
E_form   -0.280 eV per atom
Symmetry   F-43m, No. 216
Calculated total energy   -0.16878 hartree per atom


5.
DFT (PBE) results for Cs2Sr3Cl8 after structural relaxation.

abc: 9.465 9.465 7.612
angles: 107.24 107.24 56.22
Fractional coordinates of all 13 atoms:
1 Cs 0.226 0.226 0.164
2 Cs 0.774 0.774 0.836
3 Sr 0.242 0.758 0.500
4 Sr 0.500 0.500 0.000
5 Sr 0.758 0.242 0.500
6 Cl 0.107 0.107 0.461
7 Cl 0.178 0.617 0.110
8 Cl 0.383 0.822 0.890
9 Cl 0.406 0.406 0.595
10 Cl 0.594 0.594 0.405
11 Cl 0.617 0.178 0.110
12 Cl 0.822 0.383 0.890
13 Cl 0.893 0.893 0.539

Summary:
Energy relative to the elements, uncorrected   -2.3368 eV/atom
Symmetry   C2/m, No. 12
Calculated total energy   -0.14673 hartree per atom


6.
DFT (PBE) results for NaIO2F after structural relaxation.

abc: 4.819 4.819 4.242
angles: 90.00 90.00 90.00
Fractional coordinates of all 5 atoms:
1 Na 0.000 0.000 0.000
2 I 0.500 0.500 0.000
3 O 0.000 0.500 0.500
4 O 0.500 0.000 0.500
5 F 0.500 0.500 0.500

Summary:
Energy relative to the elements, uncorrected   0.2075 eV/atom
Symmetry   P4/mmm, No. 123
Calculated total energy   -0.10010 hartree per atom


7.
DFT (PBE) results for CaPm2TmBi4 after structural relaxation.

abc: 7.858 4.532 7.932
angles: 90.00 109.27 90.00
Fractional coordinates of all 8 atoms:
1 Ca 0.000 0.000 0.000
2 Pm 0.500 0.000 0.500
3 Pm 0.500 0.500 0.000
4 Tm 0.000 0.500 0.500
5 Bi 0.243 0.000 0.743
6 Bi 0.247 0.500 0.255
7 Bi 0.753 0.500 0.745
8 Bi 0.757 0.000 0.257

Summary:
E_form   -0.817 eV per atom
Symmetry   P2/m, No. 10
Calculated total energy   -0.17472 hartree per atom


8.
DFT (PBE) results for Nd4Y3PuS8 after structural relaxation.

abc: 8.020 8.020 8.020
angles: 59.63 59.63 59.63
Fractional coordinates of all 16 atoms:
1 Nd 0.000 0.000 0.000
2 Nd 0.000 0.500 0.500
3 Nd 0.500 0.000 0.500
4 Nd 0.500 0.500 0.000
5 Y 0.000 0.000 0.500
6 Y 0.000 0.500 0.000
7 Y 0.500 0.000 0.000
8 Pu 0.500 0.500 0.500
9 S 0.244 0.746 0.746
10 S 0.245 0.245 0.245
11 S 0.254 0.254 0.756
12 S 0.254 0.756 0.254
13 S 0.746 0.244 0.746
14 S 0.746 0.746 0.244
15 S 0.755 0.755 0.755
16 S 0.756 0.254 0.254

Summary:
Energy relative to the elements, uncorrected   -1.9948 eV/atom
Symmetry   R-3m, No. 166
Calculated total energy   -0.27041 hartree per atom


> The highest calculated total energy belongs to which entry?

NaIO2F